[1]
A geometry-optimized MnSbAu4 structure, computed with GGA-PBE.

Values from the calculation:
Uncorrected formation energy = 0.160 eV/atom
Calculated volume = 20.3 Å³/atom
Magnetic moment = 0.7494 μB/atom

Geometry as CIF:
```
data_MnSbAu4
_cell_length_a 7.864
_cell_length_b 7.864
_cell_length_c 7.864
_cell_angle_alpha 90.00
_cell_angle_beta 90.00
_cell_angle_gamma 90.00
_space_group_name_H-M_alt 'F -4 3 m'
_space_group_IT_number 216
_space_group_name_Hall 'F -4 2 3'
loop_
_atom_site_label
_atom_site_fract_x
_atom_site_fract_y
_atom_site_fract_z
_atom_site_occupancy
Mn1 0.000 0.000 0.000 1
Sb1 0.250 0.250 0.750 1
Au1 0.125 0.125 0.375 1
```



[2]
A geometry-optimized MnSb3Au structure, computed with GGA-PBE.

Values from the calculation:
Offset from the most stable computed form = 0 meV/atom
Uncorrected formation energy = 0.402 eV/atom
Calculated volume = 24.6 Å³/atom
Magnetic moment = 0.2951 μB/atom

Geometry as CIF:
```
data_MnSb3Au
_cell_length_a 4.972
_cell_length_b 4.972
_cell_length_c 4.972
_cell_angle_alpha 90.00
_cell_angle_beta 90.00
_cell_angle_gamma 90.00
_space_group_name_H-M_alt 'P m -3 m'
_space_group_IT_number 221
_space_group_name_Hall '-P 4 2 3'
loop_
_atom_site_label
_atom_site_fract_x
_atom_site_fract_y
_atom_site_fract_z
_atom_site_occupancy
Mn1 0.000 0.000 0.000 1
Sb1 0.000 0.000 0.500 1
Au1 0.500 0.500 0.500 1
```



[3]
A geometry-optimized Mn2Sb2Au structure, computed with GGA-PBE.

Values from the calculation:
Uncorrected formation energy = 0.111 eV/atom
Calculated volume = 19.0 Å³/atom
Magnetic moment = 1.1945 μB/atom

Geometry as CIF:
```
data_Mn2Sb2Au
_cell_length_a 7.222
_cell_length_b 7.222
_cell_length_c 3.648
_cell_angle_alpha 90.00
_cell_angle_beta 90.00
_cell_angle_gamma 90.00
_space_group_name_H-M_alt 'P 4/m b m'
_space_group_IT_number 127
_space_group_name_Hall '-P 4 2ab'
loop_
_atom_site_label
_atom_site_fract_x
_atom_site_fract_y
_atom_site_fract_z
_atom_site_occupancy
Mn1 0.132 0.368 0.000 1
Sb1 0.165 0.665 0.500 1
Au1 0.000 0.000 0.000 1
```



[4]
A geometry-optimized Mn2SbAu2 structure, computed with GGA-PBE.

Values from the calculation:
Uncorrected formation energy = 0.093 eV/atom
Calculated volume = 18.7 Å³/atom
Magnetic moment = 1.5736 μB/atom

Geometry as CIF:
```
data_Mn2SbAu2
_cell_length_a 7.519
_cell_length_b 7.519
_cell_length_c 3.313
_cell_angle_alpha 90.00
_cell_angle_beta 90.00
_cell_angle_gamma 90.00
_space_group_name_H-M_alt 'P 4/m b m'
_space_group_IT_number 127
_space_group_name_Hall '-P 4 2ab'
loop_
_atom_site_label
_atom_site_fract_x
_atom_site_fract_y
_atom_site_fract_z
_atom_site_occupancy
Mn1 0.153 0.347 0.000 1
Sb1 0.000 0.000 0.000 1
Au1 0.140 0.640 0.500 1
```



[5]
A geometry-optimized MnSb3Au structure, computed with GGA-PBE.

Values from the calculation:
Offset from the most stable computed form = 470 meV/atom
Uncorrected formation energy = 0.872 eV/atom
Calculated volume = 31.2 Å³/atom
Magnetic moment = 0.8534 μB/atom

Geometry as CIF:
```
data_MnSb3Au
_cell_length_a 5.385
_cell_length_b 5.385
_cell_length_c 5.385
_cell_angle_alpha 90.00
_cell_angle_beta 90.00
_cell_angle_gamma 90.00
_space_group_name_H-M_alt 'P m -3 m'
_space_group_IT_number 221
_space_group_name_Hall '-P 4 2 3'
loop_
_atom_site_label
_atom_site_fract_x
_atom_site_fract_y
_atom_site_fract_z
_atom_site_occupancy
Mn1 0.000 0.000 0.000 1
Sb1 0.000 0.500 0.500 1
Au1 0.500 0.500 0.500 1
```



[6]
A geometry-optimized Sr2MnSb4Au3 structure, computed with GGA-PBE.

Values from the calculation:
Uncorrected formation energy = -0.472 eV/atom
Calculated volume = 26.2 Å³/atom
Magnetic moment = 0.4463 μB/atom

Geometry as CIF:
```
data_Sr2MnSb4Au3
_cell_length_a 4.734
_cell_length_b 4.734
_cell_length_c 11.704
_cell_angle_alpha 90.00
_cell_angle_beta 90.00
_cell_angle_gamma 90.00
_space_group_name_H-M_alt 'P -4 m 2'
_space_group_IT_number 115
loop_
_space_group_symop_operation_xyz
'x,y,z'
'y,-x,-z'
'-x,-y,z'
'-y,x,-z'
'-x,y,z'
'-y,-x,-z'
'x,-y,z'
'y,x,-z'
loop_
_atom_site_label
_atom_site_fract_x
_atom_site_fract_y
_atom_site_fract_z
_atom_site_occupancy
Sr1 0.000 0.500 0.249 1
Mn1 0.500 0.500 0.000 1
Sb1 0.000 0.000 0.500 1
Sb2 0.000 0.500 0.872 1
Sb3 0.500 0.500 0.500 1
Au1 0.000 0.000 0.000 1
Au2 0.000 0.500 0.642 1
```



[7]
A geometry-optimized MnTcSbAu2 structure, computed with GGA-PBE.

Values from the calculation:
Uncorrected formation energy = 1.350 eV/atom
Calculated volume = 25.8 Å³/atom
Magnetic moment = 1.5320 μB/atom

Geometry as CIF:
```
data_MnTcSbAu2
_cell_length_a 5.115
_cell_length_b 5.115
_cell_length_c 4.938
_cell_angle_alpha 90.00
_cell_angle_beta 90.00
_cell_angle_gamma 90.00
_space_group_name_H-M_alt 'P 4/m m m'
_space_group_IT_number 123
_space_group_name_Hall '-P 4 2'
loop_
_atom_site_label
_atom_site_fract_x
_atom_site_fract_y
_atom_site_fract_z
_atom_site_occupancy
Mn1 0.000 0.000 0.000 1
Tc1 0.500 0.500 0.000 1
Sb1 0.000 0.000 0.500 1
Au1 0.000 0.500 0.500 1
```



[8]
A geometry-optimized MnTcSb2Au structure, computed with GGA-PBE.

Values from the calculation:
Uncorrected formation energy = 0.817 eV/atom
Calculated volume = 21.2 Å³/atom
Magnetic moment = 0.1859 μB/atom

Geometry as CIF:
```
data_MnTcSb2Au
_cell_length_a 4.879
_cell_length_b 4.879
_cell_length_c 4.453
_cell_angle_alpha 90.00
_cell_angle_beta 90.00
_cell_angle_gamma 90.00
_space_group_name_H-M_alt 'P 4/m m m'
_space_group_IT_number 123
_space_group_name_Hall '-P 4 2'
loop_
_atom_site_label
_atom_site_fract_x
_atom_site_fract_y
_atom_site_fract_z
_atom_site_occupancy
Mn1 0.000 0.000 0.000 1
Tc1 0.000 0.000 0.500 1
Sb1 0.000 0.500 0.000 1
Au1 0.500 0.500 0.500 1
```